A geometry-optimized LuTaCoPb structure, computed with GGA-PBE.

abc: 6.7887 6.7887 6.7887
angles: 90.00 90.00 90.00
Closest atoms and distances in Å follow each position.
Space group F-43m (No. 216)
One atom of each set of equivalent atoms:
Lu: 0.0000 0.0000 0.0000 x4  4 Ta 2.94, 4 Co 2.94
Ta: 0.2500 0.2500 0.2500 x4  4 Pb 2.94, 4 Lu 2.94
Co: 0.2500 0.2500 0.7500 x4  4 Pb 2.94, 4 Lu 2.94
Pb: 0.0000 0.0000 0.5000 x4  4 Ta 2.94, 4 Co 2.94

Properties
DFT total energy in eV/atom: -6.271
Volume in Å³ per cell: 313
Offset from the most stable computed form in eV per formula unit: 0.00